VASP calculation (PBE) on an optimized crystal structure of Ba3Hg3Bi.

Calculated values
Crystal system = orthorhombic
SG = Cmmm
DFT formation energy = -485.6 meV/atom

Unit cell a=8.0365 b=8.0365 c=8.6770 alpha=90.00 beta=90.00 gamma=87.04
Sites, in units of the cell vectors:
Ba 0.0000 0.0000 0.7549
Ba 0.5000 0.0000 0.2533
Ba 0.0000 0.5000 0.2533
Ba 0.5000 0.0000 0.7467
Ba 0.0000 0.5000 0.7467
Ba 0.0000 0.0000 0.2451
Hg 0.3460 0.3460 0.5000
Hg 0.2629 0.7371 0.5000
Hg 0.7371 0.2629 0.5000
Hg 0.2930 0.7070 0.0000
Hg 0.7070 0.2930 0.0000
Hg 0.6540 0.6540 0.5000
Bi 0.2540 0.2540 0.0000
Bi 0.7460 0.7460 0.0000